1.
Here is a relaxed structure of Y3Co8Ni from OQMD via LeMat-Bulk. Energies are from GGA-PBE.

CIF file:
```
data_Y3Co8Ni
_chemical_formula_sum 'Y3 Co8 Ni1'
_cell_length_a 8.660
_cell_length_b 8.660
_cell_length_c 8.660
_cell_angle_alpha 33.12
_cell_angle_beta 33.12
_cell_angle_gamma 33.12
_symmetry_space_group_name_H-M 'P 1'
_symmetry_Int_Tables_number 1
_symmetry_space_group_name_Hall 'P 1'
loop_
_atom_site_label
_atom_site_fract_x
_atom_site_fract_y
_atom_site_fract_z
Co1 0.580 0.580 0.080
Co2 0.334 0.334 0.334
Co3 0.420 0.420 0.920
Co4 0.666 0.666 0.666
Co5 0.580 0.080 0.580
Co6 0.920 0.420 0.420
Co7 0.420 0.920 0.420
Co8 0.080 0.580 0.580
Y1 0.000 0.000 0.000
Y2 0.861 0.861 0.861
Y3 0.139 0.139 0.139
Ni1 0.500 0.500 0.500
```

Summary:
DFT formation energy   -0.182 eV/atom
Electronic total energy   -84.00 eV per cell
Space group   R-3m, No. 166
Theoretical density   7.67 g/cm³

2.
Here is a relaxed structure of YCoNi2 from OQMD via LeMat-Bulk. Energies are from GGA-PBE.

CIF file:
```
data_YCoNi2
_chemical_formula_sum 'Y3 Co3 Ni6'
_cell_length_a 8.615
_cell_length_b 8.615
_cell_length_c 8.615
_cell_angle_alpha 33.31
_cell_angle_beta 33.31
_cell_angle_gamma 33.31
_symmetry_space_group_name_H-M 'P 1'
_symmetry_Int_Tables_number 1
_symmetry_space_group_name_Hall 'P 1'
loop_
_atom_site_label
_atom_site_fract_x
_atom_site_fract_y
_atom_site_fract_z
Ni1 0.917 0.419 0.419
Ni2 0.581 0.581 0.083
Ni3 0.419 0.917 0.419
Ni4 0.419 0.419 0.917
Ni5 0.581 0.083 0.581
Ni6 0.083 0.581 0.581
Co1 0.500 0.500 0.500
Co2 0.333 0.333 0.333
Co3 0.667 0.667 0.667
Y1 0.139 0.139 0.139
Y2 0.000 0.000 0.000
Y3 0.861 0.861 0.861
```

Summary:
DFT formation energy   -0.288 eV/atom
Electronic total energy   -77.58 eV per cell
Space group   R-3m, No. 166
Theoretical density   7.70 g/cm³